[1]
VASP calculation (PBE-GGA) on a geometry-optimized LaPt2Se structure.

Cell and atoms, written as POSCAR:
```
LaPt2Se
1.0
-0.7458 -0.0010 -3.8042
-3.0009 -2.3831 0.5889
-3.4456 4.5055 0.6743
Pt La Se
2 1 1
direct
0.0000 0.0000 0.4910 Pt
0.0000 0.0000 0.0090 Pt
0.5000 0.5000 0.7500 La
0.5000 0.5000 0.2500 Se
```

Computed properties:
- calculated volume (Å³/cell) = 85.9
- DOS at the Fermi energy (states/eV per atom) = 0.517
- energy relative to the elements, uncorrected (meV per atom) = -649

[2]
VASP calculation (PBE-GGA) on a geometry-optimized LaPt2Se structure.

Cell and atoms, written as POSCAR:
```
LaPt2Se
1.0
5.0491 0.0000 0.0000
0.0000 5.0491 0.0000
2.5246 2.5246 7.9312
Se Pt La
2 4 2
direct
0.2500 0.7500 0.5000 Se
0.5000 0.5000 0.0000 Se
0.3750 0.4938 0.7500 Pt
0.2438 0.6250 0.2500 Pt
0.5062 0.1250 0.2500 Pt
0.8750 0.7562 0.7500 Pt
0.0000 0.0000 0.0000 La
0.7500 0.2500 0.5000 La
```

Computed properties:
- calculated volume (Å³/cell) = 202.2
- DOS at the Fermi energy (states/eV per atom) = 1.005
- energy relative to the elements, uncorrected (meV per atom) = -671

[3]
VASP calculation (PBE-GGA) on a geometry-optimized LaPt2Se structure.

Cell and atoms, written as POSCAR:
```
LaPt2Se
1.0
4.9249 0.2057 0.4811
3.1086 3.8253 0.4811
1.9153 0.9611 5.0641
La Pt Se
1 2 1
direct
0.2524 0.2524 0.2341 La
0.0371 0.0371 0.8751 Pt
0.7504 0.7504 0.7908 Pt
0.4601 0.4601 0.6000 Se
```

Computed properties:
- calculated volume (Å³/cell) = 88.0
- DOS at the Fermi energy (states/eV per atom) = 0.703
- energy relative to the elements, uncorrected (meV per atom) = -836

What is the energy relative to the elements, uncorrected in the third record? -836 meV per atom

Which value of calculated volume does entry 2 give? 202.2 Å³/cell

Look up the calculated volume of the third one. 88.0 Å³/cell

Look up the energy relative to the elements, uncorrected of the third one. -836 meV per atom